Record 1
# K2BaUSe4 (PBE-GGA, optimized geometry)
data_K2BaUSe4
_cell_length_a 7.9124
_cell_length_b 4.4460
_cell_length_c 8.0777
_cell_angle_alpha 90.00
_cell_angle_beta 108.62
_cell_angle_gamma 90.00
_symmetry_space_group_name_H-M 'P 1 2/m 1'
_symmetry_Int_Tables_number 10
loop_
_symmetry_equiv_pos_as_xyz
'x,y,z'
'-x,-y,-z'
'-x,y,-z'
'x,-y,z'
loop_
_atom_site_label
_atom_site_fract_x
_atom_site_fract_y
_atom_site_fract_z
K1 0.0000 0.0000 0.0000
K2 0.5000 0.5000 0.0000
Ba1 0.0000 0.5000 0.5000
U1 0.5000 0.0000 0.5000
Se1 0.2802 0.0000 0.7142
Se2 0.2926 0.5000 0.2945
# E: -0.188 Ha/atom
# Uncorrected formation energy: -1450 meV/atom



Record 2
# KBa2USe5 (PBE-GGA, optimized geometry)
data_KBa2USe5
_cell_length_a 5.3835
_cell_length_b 7.9165
_cell_length_c 15.5256
_cell_angle_alpha 90.00
_cell_angle_beta 90.00
_cell_angle_gamma 90.00
_symmetry_space_group_name_H-M 'I m m m'
_symmetry_Int_Tables_number 71
_symmetry_space_group_name_Hall '-I 2 2'
loop_
_atom_site_label
_atom_site_fract_x
_atom_site_fract_y
_atom_site_fract_z
K1 0.0000 0.0000 0.0000
Ba1 0.0000 0.5000 0.2102
U1 0.0000 0.0000 0.5000
Se1 0.0000 0.2363 0.3697
Se2 0.0000 0.5000 0.0000
# E: -0.194 Ha/atom
# Uncorrected formation energy: -1552 meV/atom



- Among the records above, which one has the lowest uncorrected formation energy?
  KBa2USe5



- Which of these has the lowest uncorrected formation energy?
  KBa2USe5



- What is the formula in the second record?
  KBa2USe5